Density functional theory data (GGA-PBE) for a relaxed Ba3Rh2O7 crystal.

Lattice parameters (Å, degrees): 4.105 4.105 21.461 90.00 90.00 90.00
Space group I4/mmm (No. 139)
One atom of each set of equivalent atoms:
Ba1 0.000 0.000 0.000 (multiplicity 2)
Ba2 0.000 0.000 0.183 (multiplicity 4)
Rh1 0.000 0.000 0.404 (multiplicity 4)
O1 0.000 0.000 0.310 (multiplicity 4)
O2 0.000 0.000 0.500 (multiplicity 2)
O3 0.000 0.500 0.096 (multiplicity 8)

The value obtained for the formation energy from raw total energies is -1716.8 meV per atom. The calculation puts the distance to the lowest polymorph of the same formula at 0.000 eV per atom.